Record 1
A relaxed BTeBrN2 crystal, computed with PBE-GGA.

The structure in POSCAR format:
```
BTeBrN2
1.0
3.705 0.000 0.000
0.000 3.705 0.000
0.000 0.000 8.120
B Te Br N
1 1 1 2
Direct
0.000 0.000 0.000 B
0.500 0.500 0.000 Te
0.500 0.500 0.500 Br
0.000 0.500 0.500 N
0.500 0.000 0.500 N
```

Output
Energy above the most stable polymorph in this dataset: 658 meV per atom
Space-group type: P4/mmm, No. 123



Record 2
A relaxed BTe2BrN crystal, computed with PBE-GGA.

The structure in POSCAR format:
```
BTe2BrN
1.0
5.863 0.000 0.000
0.000 5.863 0.000
0.000 0.000 3.650
B Te Br N
1 2 1 1
Direct
0.000 0.000 0.000 B
0.000 0.500 0.500 Te
0.500 0.000 0.500 Te
0.500 0.500 0.500 Br
0.500 0.500 0.000 N
```

Output
Energy above the most stable polymorph in this dataset: 2091 meV per atom
Space-group type: P4/mmm, No. 123



Record 3
A relaxed BTeBrN2 crystal, computed with PBE-GGA.

The structure in POSCAR format:
```
BTeBrN2
1.0
3.803 0.000 0.000
0.000 3.803 0.000
0.000 0.000 4.430
B Te Br N
1 1 1 2
Direct
0.000 0.000 0.000 B
0.500 0.500 0.500 Te
0.000 0.000 0.500 Br
0.000 0.500 0.000 N
0.500 0.000 0.000 N
```

Output
Energy above the most stable polymorph in this dataset: 0 meV per atom
Space-group type: P4/mmm, No. 123



Record 4
A relaxed BTeBrN2 crystal, computed with PBE-GGA.

The structure in POSCAR format:
```
BTeBrN2
1.0
3.698 0.000 0.000
0.000 3.698 0.000
0.000 0.000 5.280
B Te Br N
1 1 1 2
Direct
0.000 0.000 0.000 B
0.000 0.000 0.500 Te
0.500 0.500 0.500 Br
0.000 0.500 0.000 N
0.500 0.000 0.000 N
```

Output
Energy above the most stable polymorph in this dataset: 0 meV per atom
Space-group type: P4/mmm, No. 123



Record 5
A relaxed Ti2BBrN crystal, computed with PBE-GGA.

The structure in POSCAR format:
```
Ti2BBrN
1.0
4.644 0.000 0.000
0.000 4.644 0.000
0.000 0.000 3.813
Ti B Br N
2 1 1 1
Direct
0.000 0.500 0.000 Ti
0.500 0.000 0.000 Ti
0.000 0.000 0.500 B
0.000 0.000 0.000 Br
0.500 0.500 0.500 N
```

Output
Space-group type: P4/mmm, No. 123



Record 6
A relaxed NaB2Br crystal, computed with PBE-GGA.

The structure in POSCAR format:
```
NaB2Br
1.0
6.568 0.000 0.000
0.000 6.568 0.000
0.000 0.000 6.568
Na B Br
4 8 4
Direct
0.000 0.000 0.000 Na
0.000 0.500 0.500 Na
0.500 0.000 0.500 Na
0.500 0.500 0.000 Na
0.250 0.250 0.250 B
0.250 0.250 0.750 B
0.250 0.750 0.250 B
0.250 0.750 0.750 B
0.750 0.250 0.250 B
0.750 0.250 0.750 B
0.750 0.750 0.250 B
0.750 0.750 0.750 B
0.000 0.000 0.500 Br
0.000 0.500 0.000 Br
0.500 0.000 0.000 Br
0.500 0.500 0.500 Br
```

Output
Energy above the most stable polymorph in this dataset: 322 meV per atom
Space-group type: Fm-3m, No. 225



Record 7
A relaxed NaBBr3 crystal, computed with PBE-GGA.

The structure in POSCAR format:
```
NaBBr3
1.0
6.924 0.000 0.000
0.000 7.541 0.000
-6.678 0.000 10.155
Na B Br
4 4 12
Direct
0.218 0.108 0.259 Na
0.218 0.392 0.759 Na
0.782 0.608 0.241 Na
0.782 0.892 0.741 Na
0.096 0.582 0.047 B
0.096 0.918 0.547 B
0.904 0.082 0.453 B
0.904 0.418 0.953 B
0.074 0.210 0.928 Br
0.074 0.290 0.428 Br
0.254 0.690 0.959 Br
0.254 0.810 0.459 Br
0.353 0.006 0.732 Br
0.353 0.494 0.232 Br
0.647 0.506 0.768 Br
0.647 0.994 0.268 Br
0.746 0.190 0.541 Br
0.746 0.310 0.041 Br
0.926 0.710 0.572 Br
0.926 0.790 0.072 Br
```

Output
Energy above the most stable polymorph in this dataset: 0 meV per atom
Space-group type: P2_1/c, No. 14



Record 8
A relaxed Na2BBr6 crystal, computed with PBE-GGA.

The structure in POSCAR format:
```
Na2BBr6
1.0
9.143 0.000 0.000
0.000 8.543 0.000
-4.724 0.000 8.018
Na B Br
4 2 12
Direct
0.031 0.113 0.196 Na
0.031 0.387 0.696 Na
0.969 0.613 0.304 Na
0.969 0.887 0.804 Na
0.500 0.000 0.000 B
0.500 0.500 0.500 B
0.162 0.169 0.972 Br
0.162 0.331 0.472 Br
0.242 0.662 0.880 Br
0.242 0.838 0.380 Br
0.428 0.039 0.785 Br
0.428 0.461 0.285 Br
0.572 0.539 0.715 Br
0.572 0.961 0.215 Br
0.758 0.162 0.620 Br
0.758 0.338 0.120 Br
0.838 0.669 0.528 Br
0.838 0.831 0.028 Br
```

Output
Space-group type: P2_1/c, No. 14



In meV/atom, the formation energy without anion corrections values for the records above are, in order, 2522, 2146, 1865, 1865, 1920, 1876, -845, -559.